Compound: KMn2Cd
Source: the Alexandria database
Functional: GGA-PBEsol
Structure: relaxed

```
KMn2Cd
1.0
-1.486 2.735 5.434
1.486 -2.735 5.434
1.486 2.735 -5.434
K Mn Cd
1 2 1
Direct
0.000 0.000 0.000 K
0.282 0.782 0.500 Mn
0.718 0.218 0.500 Mn
0.500 0.500 0.000 Cd
```

- Symmetry: Immm (71)
- Crystal system: orthorhombic
- Energy relative to the elements: 954 meV per atom
- E: -4.509 eV/atom